No. 1
SCAN CsLiSn3, single point on PBEsol structure; DOS(E_F) = 0.726 states/eV/atom; formation enthalpy at 0 K = 1.324 eV per atom; SG = Pm-3m, No. 221; total DFT energy (no corrections) = -141.343 eV per cell; crystal system = cubic
1.0
6.096 0.000 0.000
0.000 6.096 0.000
0.000 0.000 6.096
Cs Li Sn
1 1 3
Direct
0.000 0.000 0.000 Cs
0.500 0.500 0.500 Li
0.000 0.000 0.500 Sn
0.000 0.500 0.000 Sn
0.500 0.000 0.000 Sn


No. 2
SCAN IrPd2AuS, single point on PBEsol structure; DOS(E_F) = 1.397 states/eV/atom; energy relative to the elements, uncorrected = 1.401 eV per atom; SG = P4/mmm, No. 123; total DFT energy (no corrections) = -208.428 eV per cell; crystal system = tetragonal
1.0
4.695 0.000 0.000
0.000 4.695 0.000
0.000 0.000 4.957
Ir Pd Au S
1 2 1 1
Direct
0.000 0.000 0.000 Ir
0.000 0.500 0.000 Pd
0.500 0.000 0.000 Pd
0.000 0.000 0.500 Au
0.500 0.500 0.500 S


No. 3
SCAN SiTc2Hg, single point on PBEsol structure; DOS(E_F) = 0.370 states/eV/atom; energy relative to the elements, uncorrected = 0.173 eV per atom; SG = P4mm, No. 99; total DFT energy (no corrections) = -147.610 eV per cell; crystal system = tetragonal
1.0
2.987 0.000 0.000
0.000 2.987 0.000
0.000 0.000 6.861
Si Tc Hg
1 2 1
Direct
0.000 0.000 0.000 Si
0.000 0.000 0.418 Tc
0.500 0.500 0.183 Tc
0.500 0.500 0.707 Hg


No. 4
SCAN CoW2Cl, single point on PBEsol structure; DOS(E_F) = 0.675 states/eV/atom; energy relative to the elements, uncorrected = 0.966 eV per atom; SG = Immm, No. 71; total DFT energy (no corrections) = -321.588 eV per cell; crystal system = orthorhombic
1.0
2.873 0.000 0.000
0.000 4.470 0.000
0.000 0.000 8.852
Co W Cl
2 4 2
Direct
0.000 0.000 0.000 Co
0.500 0.500 0.500 Co
0.000 0.500 0.231 W
0.000 0.500 0.769 W
0.500 0.000 0.269 W
0.500 0.000 0.731 W
0.000 0.000 0.500 Cl
0.500 0.500 0.000 Cl


No. 5
SCAN ReNiSb, single point on PBEsol structure; DOS(E_F) = 1.099 states/eV/atom; energy relative to the elements, uncorrected = 0.643 eV per atom; SG = F-43m, No. 216; total DFT energy (no corrections) = -490.412 eV per cell; crystal system = cubic
1.0
5.823 0.000 0.000
0.000 5.823 0.000
0.000 0.000 5.823
Re Ni Sb
4 4 4
Direct
0.000 0.000 0.000 Re
0.000 0.500 0.500 Re
0.500 0.000 0.500 Re
0.500 0.500 0.000 Re
0.250 0.250 0.750 Ni
0.250 0.750 0.250 Ni
0.750 0.250 0.250 Ni
0.750 0.750 0.750 Ni
0.000 0.000 0.500 Sb
0.000 0.500 0.000 Sb
0.500 0.000 0.000 Sb
0.500 0.500 0.500 Sb


No. 6
SCAN YPdAu2, single point on PBEsol structure; DOS(E_F) = 0.315 states/eV/atom; formation enthalpy at 0 K = -0.810 eV per atom; SG = Fm-3m, No. 225; total DFT energy (no corrections) = -808.683 eV per cell; crystal system = cubic
1.0
6.684 0.000 0.000
0.000 6.684 0.000
0.000 0.000 6.684
Y Pd Au
4 4 8
Direct
0.000 0.000 0.000 Y
0.000 0.500 0.500 Y
0.500 0.000 0.500 Y
0.500 0.500 0.000 Y
0.000 0.000 0.500 Pd
0.000 0.500 0.000 Pd
0.500 0.000 0.000 Pd
0.500 0.500 0.500 Pd
0.250 0.250 0.250 Au
0.250 0.250 0.750 Au
0.250 0.750 0.250 Au
0.250 0.750 0.750 Au
0.750 0.250 0.250 Au
0.750 0.250 0.750 Au
0.750 0.750 0.250 Au
0.750 0.750 0.750 Au


No. 7
SCAN Mg2SiMo, single point on PBEsol structure; DOS(E_F) = 0.275 states/eV/atom; energy relative to the elements, uncorrected = 0.038 eV per atom; SG = P4mm, No. 99; total DFT energy (no corrections) = -54.698 eV per cell; crystal system = tetragonal
1.0
3.259 0.000 0.000
0.000 3.259 0.000
0.000 0.000 6.576
Mg Si Mo
2 1 1
Direct
0.000 0.000 0.000 Mg
0.500 0.500 0.310 Mg
0.500 0.500 0.726 Si
0.000 0.000 0.576 Mo


No. 8
SCAN MgScP2, single point on PBEsol structure; DOS(E_F) = 0.239 states/eV/atom; formation enthalpy at 0 K = -0.714 eV per atom; SG = I-42d, No. 122; total DFT energy (no corrections) = -171.459 eV per cell; crystal system = tetragonal
1.0
6.853 0.000 0.000
0.000 6.853 0.000
0.000 0.000 6.289
Mg Sc P
4 4 8
Direct
0.000 0.000 0.000 Mg
0.000 0.500 0.250 Mg
0.500 0.000 0.750 Mg
0.500 0.500 0.500 Mg
0.000 0.000 0.500 Sc
0.000 0.500 0.750 Sc
0.500 0.000 0.250 Sc
0.500 0.500 0.000 Sc
0.244 0.250 0.125 P
0.250 0.744 0.375 P
0.250 0.756 0.875 P
0.256 0.250 0.625 P
0.744 0.750 0.625 P
0.750 0.244 0.875 P
0.750 0.256 0.375 P
0.756 0.750 0.125 P


Copy entry 7 word for word.
SCAN Mg2SiMo, single point on PBEsol structure; DOS(E_F) = 0.275 states/eV/atom; energy relative to the elements, uncorrected = 0.038 eV per atom; SG = P4mm, No. 99; total DFT energy (no corrections) = -54.698 eV per cell; crystal system = tetragonal
1.0
3.259 0.000 0.000
0.000 3.259 0.000
0.000 0.000 6.576
Mg Si Mo
2 1 1
Direct
0.000 0.000 0.000 Mg
0.500 0.500 0.310 Mg
0.500 0.500 0.726 Si
0.000 0.000 0.576 Mo